Computed, not measured: a relaxed SrSbMo crystal at the GGA-PBE level of DFT.

a b c (Å): 4.627 4.627 4.587
angles (deg): 90.00 90.00 120.00
Fractional positions:
Mo  0.000  0.000  0.167
Sb  0.667  0.333  0.167
Sr  0.333  0.667  0.667

## Properties
**Crystal system**: hexagonal
**SG**: P-6m2
**Formation energy (no corrections)**: 0.2157 eV/atom
**Total DFT energy (no corrections)**: -5.329 eV per atom
**Energy above the lowest structure with this stoichiometry**: 0.084 eV per atom